No. 1
# Be3IrRh

A geometry-optimized Be3IrRh structure (GGA-PBE, Alexandria).

Cell lengths 4.0962, 4.0962, 4.0962 Å; angles 90.00, 90.00, 90.00 degrees
With the nearest neighbours (Å) after each atom.
Space group Pm-3m (No. 221)
Inequivalent atoms, fractional coordinates:
Be (0.0000, 0.0000, 0.5000) (multiplicity 3)  2 Ir 2.05
Ir (0.0000, 0.0000, 0.0000) (multiplicity 1)  6 Be 2.05
Rh (0.5000, 0.5000, 0.5000) (multiplicity 1)  12 Be 2.90

Properties
The energy above the most stable polymorph in this dataset comes out at 0 kJ/mol of formula units. The value obtained for the formation energy from the elements is 0.42 eV per atom.

No. 2
# KMgBe2

A geometry-optimized KMgBe2 structure (GGA-PBE, Alexandria).

Cell lengths 9.9062, 2.9801, 6.4161 Å; angles 90.00, 105.24, 90.00 degrees
With the nearest neighbours (Å) after each atom.
Space group Cm (No. 8)
Inequivalent atoms, fractional coordinates:
K (0.0000, 0.0000, 0.0000) (multiplicity 2)  2 K 2.98, 1 Be 3.30
Mg (0.1794, 0.0000, 0.5625) (multiplicity 2)  4 Be 2.58-2.60
Be (0.3094, 0.5000, 0.3513) (multiplicity 2)  2 Be 2.11
Be (0.4570, 0.0000, 0.4856) (multiplicity 2)  2 Be 2.11

Properties
The value obtained for the formation energy from the elements is 0.63 eV per atom.

No. 3
# LuAlZnCd

A geometry-optimized LuAlZnCd structure (GGA-PBE, Alexandria).

Cell lengths 6.8344, 6.8344, 6.8344 Å; angles 90.00, 90.00, 90.00 degrees
With the nearest neighbours (Å) after each atom.
Space group F-43m (No. 216)
Inequivalent atoms, fractional coordinates:
Lu (0.0000, 0.0000, 0.0000) (multiplicity 4)  4 Cd 2.96, 4 Zn 2.96
Al (0.0000, 0.0000, 0.5000) (multiplicity 4)  4 Cd 2.96, 4 Zn 2.96
Zn (0.2500, 0.2500, 0.7500) (multiplicity 4)  4 Lu 2.96, 4 Al 2.96
Cd (0.2500, 0.2500, 0.2500) (multiplicity 4)  4 Al 2.96, 4 Lu 2.96

Properties
The value obtained for the formation energy from the elements is -0.17 eV per atom.

No. 4
# Sm2Dy2Er2Tm

A geometry-optimized Sm2Dy2Er2Tm structure (GGA-PBE, Alexandria).

Cell lengths 5.6431, 5.6431, 24.4067 Å; angles 90.00, 90.00, 120.00 degrees
With the nearest neighbours (Å) after each atom.
Space group R-3m (No. 166, hexagonal axes)
Inequivalent atoms, fractional coordinates:
Sm (0.0000, 0.0000, 0.1389) (multiplicity 6)  1 Tm 3.39, 3 Er 3.43, 3 Sm 3.53, 1 Dy 3.59
Dy (0.0000, 0.0000, 0.2861) (multiplicity 6)  3 Tm 3.46, 4 Er 3.46, 1 Sm 3.59
Er (0.0000, 0.0000, 0.4278) (multiplicity 6)  3 Sm 3.43, 4 Dy 3.46, 1 Er 3.52
Tm (0.0000, 0.0000, 0.0000) (multiplicity 3)  2 Sm 3.39, 6 Dy 3.46

Properties
The value obtained for the formation energy from the elements is 0.14 eV per atom.

No. 5
# TbPaCuPd

A geometry-optimized TbPaCuPd structure (GGA-PBE, Alexandria).

Cell lengths 6.9920, 6.9920, 6.9920 Å; angles 90.00, 90.00, 90.00 degrees
With the nearest neighbours (Å) after each atom.
Space group F-43m (No. 216)
Inequivalent atoms, fractional coordinates:
Tb (0.0000, 0.0000, 0.0000) (multiplicity 4)  4 Pd 3.03, 4 Cu 3.03
Pa (0.0000, 0.0000, 0.5000) (multiplicity 4)  4 Cu 3.03, 4 Pd 3.03
Cu (0.2500, 0.2500, 0.7500) (multiplicity 4)  4 Tb 3.03, 4 Pa 3.03
Pd (0.2500, 0.2500, 0.2500) (multiplicity 4)  4 Tb 3.03, 4 Pa 3.03

Properties
The value obtained for the formation energy from the elements is -0.23 eV per atom.

No. 6
# CuP2SO

A geometry-optimized CuP2SO structure (GGA-PBE, Alexandria).

Cell lengths 3.9906, 3.9906, 4.5482 Å; angles 90.00, 90.00, 90.00 degrees
With the nearest neighbours (Å) after each atom.
Space group P4/mmm (No. 123)
Inequivalent atoms, fractional coordinates:
Cu (0.0000, 0.0000, 0.0000) (multiplicity 1)  4 S 2.82, 8 P 3.03
P (0.0000, 0.5000, 0.5000) (multiplicity 2)  2 O 2.00
S (0.5000, 0.5000, 0.0000) (multiplicity 1)  2 O 2.27
O (0.5000, 0.5000, 0.5000) (multiplicity 1)  4 P 2.00

Properties
As for the uncorrected formation energy: 0.76 eV/atom. The energy above the most stable polymorph in this dataset comes out at 81 kJ/mol of formula units.

No. 7
# BeIn2Sn

A geometry-optimized BeIn2Sn structure (GGA-PBE, Alexandria).

Cell lengths 7.2247, 7.2247, 7.2247 Å; angles 90.00, 90.00, 90.00 degrees
With the nearest neighbours (Å) after each atom.
Space group Fm-3m (No. 225)
Inequivalent atoms, fractional coordinates:
Be (0.0000, 0.0000, 0.0000) (multiplicity 4)  8 In 3.13
In (0.2500, 0.2500, 0.2500) (multiplicity 8)  4 Sn 3.13, 4 Be 3.13
Sn (0.0000, 0.0000, 0.5000) (multiplicity 4)  8 In 3.13

Properties
The energy above the most stable polymorph in this dataset comes out at 71 kJ/mol of formula units. The value obtained for the formation energy from the elements is 0.51 eV per atom.

No. 8
# Pa2Pd9Rh

A geometry-optimized Pa2Pd9Rh structure (GGA-PBE, Alexandria).

Cell lengths 4.1254, 4.1254, 11.9625 Å; angles 90.00, 90.00, 90.00 degrees
With the nearest neighbours (Å) after each atom.
Space group P4/mmm (No. 123)
Inequivalent atoms, fractional coordinates:
Pa (0.0000, 0.0000, 0.1817) (multiplicity 2)  12 Pd 2.78-3.00
Pd (0.0000, 0.5000, 0.0000) (multiplicity 2)  8 Pd 2.88-2.92, 4 Pa 3.00
Pd (0.0000, 0.5000, 0.3377) (multiplicity 4)  2 Pa 2.78, 8 Pd 2.83-2.92, 2 Rh 2.83
Pd (0.5000, 0.5000, 0.1676) (multiplicity 2)  8 Pd 2.88-2.90, 4 Pa 2.92
Pd (0.5000, 0.5000, 0.5000) (multiplicity 1)  8 Pd 2.83, 4 Rh 2.92
Rh (0.0000, 0.0000, 0.5000) (multiplicity 1)  12 Pd 2.83-2.92

Properties
The value obtained for the formation energy from the elements is -0.51 eV per atom.

No. 9
# AuC2

A geometry-optimized AuC2 structure (GGA-PBE, Alexandria).

Cell lengths 2.5559, 3.6242, 4.9999 Å; angles 89.29, 75.33, 88.29 degrees
With the nearest neighbours (Å) after each atom.
Space group P-1 (No. 2)
Inequivalent atoms, fractional coordinates:
Au (0.0000, 0.0000, 0.0000) (multiplicity 1)  2 C 2.13
C (0.2199, 0.0000, 0.5602) (multiplicity 2)  2 C 1.40-1.41

Properties
The energy above the most stable polymorph in this dataset comes out at 163 kJ/mol of formula units. The value obtained for the formation energy from the elements is 0.83 eV per atom.

No. 10
# TiZn3Au3

A geometry-optimized TiZn3Au3 structure (GGA-PBE, Alexandria).

Cell lengths 7.7879, 7.7879, 7.7879 Å; angles 90.00, 90.00, 90.00 degrees
With the nearest neighbours (Å) after each atom.
Space group P2_13 (No. 198)
Inequivalent atoms, fractional coordinates:
Ti (0.0446, 0.4554, 0.5446) (multiplicity 4)  6 Au 2.81-2.87, 4 Zn 2.90-2.95
Zn (0.1305, 0.6305, 0.8695) (multiplicity 4)  6 Au 2.64-2.70, 1 Zn 2.68, 3 Ti 2.95
Zn (0.1669, 0.8331, 0.3331) (multiplicity 4)  6 Au 2.65-2.70, 3 Zn 2.92
Zn (0.1707, 0.1707, 0.1707) (multiplicity 4)  4 Zn 2.68-2.92, 6 Au 2.74-2.79, 1 Ti 2.90
Au (0.0237, 0.3007, 0.8791) (multiplicity 12)  6 Zn 2.64-2.79, 2 Ti 2.81-2.87

Properties
The energy above the most stable polymorph in this dataset comes out at 0 kJ/mol of formula units. The value obtained for the formation energy from the elements is -0.21 eV per atom.

Number 1: calculated total energy -5.06 eV/atom. Number 2: calculated total energy -1.91 eV/atom. Number 3: calculated total energy -2.79 eV/atom. Number 4: calculated total energy -4.47 eV/atom. Number 5: calculated total energy -6.08 eV/atom. Number 6: calculated total energy -4.04 eV/atom. Number 7: calculated total energy -2.79 eV/atom. Number 8: calculated total energy -6.60 eV/atom. Number 9: calculated total energy -6.41 eV/atom. Number 10: calculated total energy -3.29 eV/atom.